First-principles (GGA-PBE) data for CrMoS4 after structural relaxation, as listed in the Alexandria database.

Properties
As for the density of states at the Fermi level: 6.93 states/eV per cell. The crystal system is monoclinic. As for the theoretical density: 4.67 g/cm³. As for the final energy: -6.661 eV per atom. Its size of the total moment is 0.2653 μB/atom.

abc: 6.455 5.129 6.757
angles: 90.00 118.67 90.00
Fractional positions:
Cr1 0.000 0.000 0.000
Cr2 0.000 0.500 0.500
Mo1 0.500 0.000 0.000
Mo2 0.500 0.500 0.500
S1 0.175 0.200 0.360
S2 0.175 0.300 0.860
S3 0.314 0.705 0.139
S4 0.314 0.795 0.639
S5 0.686 0.205 0.361
S6 0.686 0.295 0.861
S7 0.825 0.700 0.140
S8 0.825 0.800 0.640

---

First-principles (GGA-PBE) data for CrRuPt2 after structural relaxation, as listed in the Alexandria database.

Properties
As for the density of states at the Fermi level: 4.58 states/eV per cell. The crystal system is tetragonal. As for the theoretical density: 15.84 g/cm³. Its formation enthalpy at 0 K is -0.0986 eV per atom. As for the final energy: -7.844 eV per atom. Its size of the total moment is 0.0145 μB/atom.

abc: 2.714 2.714 7.729
angles: 90.00 90.00 90.00
Fractional positions:
Cr1 0.000 0.000 0.000
Ru1 0.500 0.500 0.782
Pt1 0.000 0.000 0.518
Pt2 0.500 0.500 0.240

---

Please write out number 1 again, unchanged.
First-principles (GGA-PBE) data for CrMoS4 after structural relaxation, as listed in the Alexandria database.

Properties
As for the density of states at the Fermi level: 6.93 states/eV per cell. The crystal system is monoclinic. As for the theoretical density: 4.67 g/cm³. As for the final energy: -6.661 eV per atom. Its size of the total moment is 0.2653 μB/atom.

abc: 6.455 5.129 6.757
angles: 90.00 118.67 90.00
Fractional positions:
Cr1 0.000 0.000 0.000
Cr2 0.000 0.500 0.500
Mo1 0.500 0.000 0.000
Mo2 0.500 0.500 0.500
S1 0.175 0.200 0.360
S2 0.175 0.300 0.860
S3 0.314 0.705 0.139
S4 0.314 0.795 0.639
S5 0.686 0.205 0.361
S6 0.686 0.295 0.861
S7 0.825 0.700 0.140
S8 0.825 0.800 0.640

---

Please write out number 2 again, unchanged.
First-principles (GGA-PBE) data for CrRuPt2 after structural relaxation, as listed in the Alexandria database.

Properties
As for the density of states at the Fermi level: 4.58 states/eV per cell. The crystal system is tetragonal. As for the theoretical density: 15.84 g/cm³. Its formation enthalpy at 0 K is -0.0986 eV per atom. As for the final energy: -7.844 eV per atom. Its size of the total moment is 0.0145 μB/atom.

abc: 2.714 2.714 7.729
angles: 90.00 90.00 90.00
Fractional positions:
Cr1 0.000 0.000 0.000
Ru1 0.500 0.500 0.782
Pt1 0.000 0.000 0.518
Pt2 0.500 0.500 0.240

---

> The lowest final energy belongs to which entry?

CrRuPt2

---

> Look up the size of the total moment of the first one.

0.2653 μB/atom